(1)
Entry from Alexandria via LeMat-Bulk: a geometry-optimized TlGeBi2 structure (PBE).

Values from the calculation:
energy of formation: 133 meV per atom
D(E_F): 1.394 states/eV per cell
total energy: -3.553 eV/atom

The structure in CIF format:
```
data_TlGeBi2
_cell_length_a 3.7733
_cell_length_b 3.7733
_cell_length_c 8.1118
_cell_angle_alpha 90.00
_cell_angle_beta 90.00
_cell_angle_gamma 90.00
_space_group_name_H-M_alt 'P 1'
_space_group_IT_number 1
_space_group_name_Hall 'P 1'
loop_
_atom_site_label
_atom_site_fract_x
_atom_site_fract_y
_atom_site_fract_z
Tl1 0.5000 0.5000 0.5000
Ge1 0.5000 0.5000 0.0000
Bi1 0.0000 0.0000 0.7911
Bi2 0.0000 0.0000 0.2089
```

=====

(2)
Entry from Alexandria via LeMat-Bulk: a geometry-optimized Sr2CdI structure (PBE).

Values from the calculation:
D(E_F): 2.665 states/eV per cell
energy above the most stable polymorph in this dataset: 7 kJ/mol of formula units
total energy: -2.163 eV/atom
E_form (uncorrected): -706 meV/atom

The structure in CIF format:
```
data_Sr2CdI
_cell_length_a 4.0395
_cell_length_b 4.0395
_cell_length_c 9.0047
_cell_angle_alpha 90.00
_cell_angle_beta 90.00
_cell_angle_gamma 90.00
_space_group_name_H-M_alt 'P 1'
_space_group_IT_number 1
_space_group_name_Hall 'P 1'
loop_
_atom_site_label
_atom_site_fract_x
_atom_site_fract_y
_atom_site_fract_z
I1 0.5000 0.5000 0.5000
Sr1 0.0000 0.0000 0.7751
Sr2 0.0000 0.0000 0.2249
Cd1 0.5000 0.5000 0.0000
```

=====

(3)
Entry from Alexandria via LeMat-Bulk: a geometry-optimized BaTa2As structure (PBE).

Values from the calculation:
energy of formation: 829 meV per atom
D(E_F): 4.427 states/eV per cell
total energy: -6.741 eV/atom

The structure in CIF format:
```
data_BaTa2As
_cell_length_a 5.2003
_cell_length_b 5.2003
_cell_length_c 5.2003
_cell_angle_alpha 125.81
_cell_angle_beta 125.81
_cell_angle_gamma 80.20
_space_group_name_H-M_alt 'P 1'
_space_group_IT_number 1
_space_group_name_Hall 'P 1'
loop_
_atom_site_label
_atom_site_fract_x
_atom_site_fract_y
_atom_site_fract_z
As1 0.5000 0.5000 0.0000
Ba1 0.7500 0.2500 0.5000
Ta1 0.0000 0.0000 0.0000
Ta2 0.2500 0.7500 0.5000
```

=====

(4)
Entry from Alexandria via LeMat-Bulk: a geometry-optimized K2AlW structure (PBE).

Values from the calculation:
energy of formation: 1290 meV per atom
D(E_F): 1.811 states/eV per cell
total energy: -3.433 eV/atom

The structure in CIF format:
```
data_K2AlW
_cell_length_a 3.8391
_cell_length_b 4.2020
_cell_length_c 5.9555
_cell_angle_alpha 90.00
_cell_angle_beta 90.00
_cell_angle_gamma 90.00
_space_group_name_H-M_alt 'P 1'
_space_group_IT_number 1
_space_group_name_Hall 'P 1'
loop_
_atom_site_label
_atom_site_fract_x
_atom_site_fract_y
_atom_site_fract_z
K1 0.0000 0.0000 0.0000
K2 0.5000 0.5000 0.0000
Al1 0.0000 0.5000 0.5000
W1 0.5000 0.0000 0.5000
```

=====

(5)
Entry from Alexandria via LeMat-Bulk: a geometry-optimized Y2TaSnN structure (PBE).

Values from the calculation:
D(E_F): 2.979 states/eV per cell
total energy: -8.223 eV/atom
E_form (uncorrected): -802 meV/atom

The structure in CIF format:
```
data_Y2TaSnN
_cell_length_a 4.9519
_cell_length_b 4.9519
_cell_length_c 4.1499
_cell_angle_alpha 90.00
_cell_angle_beta 90.00
_cell_angle_gamma 90.00
_space_group_name_H-M_alt 'P 1'
_space_group_IT_number 1
_space_group_name_Hall 'P 1'
loop_
_atom_site_label
_atom_site_fract_x
_atom_site_fract_y
_atom_site_fract_z
Y1 0.0000 0.5000 0.0000
Y2 0.5000 0.0000 0.0000
N1 0.0000 0.0000 0.0000
Sn1 0.5000 0.5000 0.5000
Ta1 0.0000 0.0000 0.5000
```

=====

(6)
Entry from Alexandria via LeMat-Bulk: a geometry-optimized SbAsSe3 structure (PBE).

Values from the calculation:
energy above the most stable polymorph in this dataset: 0 kJ/mol of formula units
total energy: -4.040 eV/atom
E_form (uncorrected): -195 meV/atom

The structure in CIF format:
```
data_SbAsSe3
_cell_length_a 3.9186
_cell_length_b 9.8836
_cell_length_c 14.1010
_cell_angle_alpha 90.00
_cell_angle_beta 90.00
_cell_angle_gamma 90.00
_space_group_name_H-M_alt 'P 1'
_space_group_IT_number 1
_space_group_name_Hall 'P 1'
loop_
_atom_site_label
_atom_site_fract_x
_atom_site_fract_y
_atom_site_fract_z
Sb1 0.7500 0.5334 0.6329
Sb2 0.2500 0.9666 0.1329
Sb3 0.2500 0.4666 0.3671
Sb4 0.7500 0.0334 0.8671
As1 0.2500 0.8519 0.5508
As2 0.7500 0.6481 0.0508
As3 0.7500 0.1481 0.4492
As4 0.2500 0.3519 0.9492
Se1 0.2500 0.7004 0.7055
Se2 0.7500 0.7996 0.2055
Se3 0.7500 0.2996 0.2945
Se4 0.2500 0.2004 0.7945
Se5 0.7500 0.9970 0.6182
Se6 0.2500 0.5030 0.1182
Se7 0.2500 0.0030 0.3818
Se8 0.7500 0.4970 0.8818
Se9 0.7500 0.6658 0.4704
Se10 0.2500 0.8342 0.9704
Se11 0.2500 0.3342 0.5296
Se12 0.7500 0.1658 0.0296
```